Crystalline Tm2Tl2InSe6 at its relaxed geometry, computed with PBE.

Computed properties:
For the volume, the calculation gives 29.755 Å³/atom. The value obtained for the size of the total moment is 0.0 Bohr magnetons per cell. The energy relative to the elements, uncorrected comes out at -1.05 eV per atom.

abc: 7.0940 12.3181 7.8747
angles: 90.00 107.96 90.00
Closest atoms and distances in Å follow each position.
Space group C2/m (No. 12)
Inequivalent atoms, fractional coordinates:
Tm 0.0000 0.1700 0.0000 x4  6 Se 2.82-2.87
Tl 0.0000 0.3307 0.5000 x4  6 Se 3.17-3.25
In 0.0000 0.5000 0.0000 x2  6 Se 2.74-2.85
Se 0.2396 0.3332 0.2117 x8  2 Tm 2.82-2.85, 1 In 2.85
Se 0.2455 0.0000 0.2010 x4  1 In 2.74, 2 Tm 2.87